[1]
# SnHgP2Cl, relaxed, DFT PBE
# Fermi-level density of states = 3.86 states/eV per cell
# energy above the most stable polymorph in this dataset = 0 meV per atom
# crystal system = tetragonal
# formation energy (no corrections) = 3.0 eV per formula unit
# volume = 28.14 Å³/atom
# magnetic moment = 1.86 μB per cell
data_SnHgP2Cl
_chemical_formula_sum 'Sn1 Hg1 P2 Cl1'
_symmetry_space_group_name_H-M 'P 4/m m m'
_symmetry_Int_Tables_number 123
_symmetry_space_group_name_Hall '-P 4 2'
_cell_length_a 5.187
_cell_length_b 5.187
_cell_length_c 5.230
_cell_angle_alpha 90.00
_cell_angle_beta 90.00
_cell_angle_gamma 90.00
loop_
_atom_site_label
_atom_site_fract_x
_atom_site_fract_y
_atom_site_fract_z
Sn1 0.000 0.000 0.000
Hg1 0.500 0.500 0.500
P1 0.000 0.500 0.000
Cl1 0.000 0.000 0.500



[2]
# SnHgP2Cl, relaxed, DFT PBE
# Fermi-level density of states = 4.00 states/eV per cell
# energy above the most stable polymorph in this dataset = 129 meV per atom
# crystal system = tetragonal
# formation energy (no corrections) = 3.7 eV per formula unit
# volume = 27.09 Å³/atom
# magnetic moment = 0.76 μB per cell
data_SnHgP2Cl
_chemical_formula_sum 'Sn1 Hg1 P2 Cl1'
_symmetry_space_group_name_H-M 'P 4/m m m'
_symmetry_Int_Tables_number 123
_symmetry_space_group_name_Hall '-P 4 2'
_cell_length_a 4.946
_cell_length_b 4.946
_cell_length_c 5.537
_cell_angle_alpha 90.00
_cell_angle_beta 90.00
_cell_angle_gamma 90.00
loop_
_atom_site_label
_atom_site_fract_x
_atom_site_fract_y
_atom_site_fract_z
Sn1 0.000 0.000 0.000
Hg1 0.500 0.500 0.500
P1 0.000 0.500 0.500
Cl1 0.500 0.500 0.000



[3]
# SrHgPCl2, relaxed, DFT PBE
# Fermi-level density of states = 4.34 states/eV per cell
# energy above the most stable polymorph in this dataset = 35 meV per atom
# crystal system = tetragonal
# formation energy (no corrections) = -2.8 eV per formula unit
# volume = 29.85 Å³/atom
# magnetic moment = 0.99 μB per cell
data_SrHgPCl2
_chemical_formula_sum 'Sr1 Hg1 P1 Cl2'
_symmetry_space_group_name_H-M 'P 4/m m m'
_symmetry_Int_Tables_number 123
_symmetry_space_group_name_Hall '-P 4 2'
_cell_length_a 5.485
_cell_length_b 5.485
_cell_length_c 4.960
_cell_angle_alpha 90.00
_cell_angle_beta 90.00
_cell_angle_gamma 90.00
loop_
_atom_site_label
_atom_site_fract_x
_atom_site_fract_y
_atom_site_fract_z
Sr1 0.000 0.000 0.000
Hg1 0.500 0.500 0.500
P1 0.500 0.500 0.000
Cl1 0.000 0.500 0.500



Which value of Fermi-level density of states does entry 1 give?
3.86 states/eV per cell



Look up the volume of the second one.
27.09 Å³/atom



energy above the most stable polymorph in this dataset of number 3 (SrHgPCl2)?
35 meV per atom



Which formula does entry 3 have?
SrHgPCl2